Run w
Here is a relaxed Ti2Pd3Rh crystal from Alexandria. Energies are from PBE.

Calculated values
Density of states at the Fermi level (states/eV/atom): 0.515
M_tot (Bohr magnetons per cell): 0.00
ρ (Mg/m³): 8.9

Geometry as POSCAR:
```
Ti2Pd3Rh
1.0
4.9888 0.0000 -2.0712
-0.8662 4.8808 -2.0864
0.2623 0.3645 7.6756
Ti Pd Rh
4 6 2
Direct
0.0961 0.3697 0.7393
0.9039 0.6303 0.2607
0.6432 0.8697 0.7393
0.3568 0.1303 0.2607
0.8965 0.1799 0.3598
0.5000 0.2500 0.0000
0.5367 0.3201 0.6402
0.1035 0.8201 0.6402
0.4633 0.6799 0.3598
0.5000 0.7500 0.0000
0.0000 0.7500 0.0000
0.0000 0.2500 0.0000
```


Run x
Here is a relaxed Ti2Pd3Rh crystal from Alexandria. Energies are from PBE.

Calculated values
Density of states at the Fermi level (states/eV/atom): 0.885
M_tot (Bohr magnetons per cell): 0.00
ρ (Mg/m³): 9.3

Geometry as POSCAR:
```
Ti2Pd3Rh
1.0
3.8918 0.0000 0.0000
-1.9459 5.8921 -0.6856
0.0000 -2.9388 8.3713
Ti Rh Pd
4 2 6
Direct
0.7825 0.5650 0.1364
0.2175 0.4350 0.8636
0.4797 0.9594 0.1445
0.5203 0.0406 0.8555
0.1279 0.2557 0.1130
0.8721 0.7443 0.8870
0.0373 0.0746 0.3649
0.3733 0.7466 0.3619
0.2916 0.5833 0.6255
0.9627 0.9254 0.6351
0.6267 0.2534 0.6381
0.7084 0.4167 0.3745
```


Which of them is the most stable? Correct choice: run x.


Run w
Here is a relaxed TlPd2Rh2 crystal from Alexandria. Energies are from PBE.

Calculated values
Density of states at the Fermi level (states/eV/atom): 1.158
M_tot (Bohr magnetons per cell): 1.80
ρ (Mg/m³): 11.5

Geometry as POSCAR:
```
TlPd2Rh2
1.0
3.5967 0.0000 0.0000
0.0000 3.5967 0.0000
1.7984 1.7984 6.9268
Rh Tl Pd
2 1 2
Direct
0.7500 0.2500 0.5000
0.2500 0.7500 0.5000
0.0000 0.0000 0.0000
0.3999 0.3999 0.2003
0.6001 0.6001 0.7997
```


Run x
Here is a relaxed TlPd2Rh2 crystal from Alexandria. Energies are from PBE.

Calculated values
Density of states at the Fermi level (states/eV/atom): 2.514
M_tot (Bohr magnetons per cell): 0.01
ρ (Mg/m³): 12.1

Geometry as POSCAR:
```
TlPd2Rh2
1.0
7.2695 0.0000 0.0000
0.0000 7.2695 0.0000
0.0000 0.0000 3.2439
Rh Pd Tl
4 4 2
Direct
0.8721 0.6279 0.0000
0.6279 0.1279 0.0000
0.3721 0.8721 0.0000
0.1279 0.3721 0.0000
0.8337 0.3337 0.5000
0.1663 0.6663 0.5000
0.3337 0.1663 0.5000
0.6663 0.8337 0.5000
0.5000 0.5000 0.0000
0.0000 0.0000 0.0000
```


Run y
Here is a relaxed TlPd2Rh2 crystal from Alexandria. Energies are from PBE.

Calculated values
Density of states at the Fermi level (states/eV/atom): 1.426
M_tot (Bohr magnetons per cell): 0.02
ρ (Mg/m³): 11.6

Geometry as POSCAR:
```
TlPd2Rh2
1.0
3.7289 0.0000 0.0000
0.0000 3.7289 0.0000
1.8645 1.8645 6.3916
Pd Tl Rh
2 1 2
Direct
0.2500 0.7500 0.5000
0.7500 0.2500 0.5000
0.0000 0.0000 0.0000
0.4021 0.4021 0.1957
0.5979 0.5979 0.8043
```


Which of them is the most stable? Correct choice: run x.


Run w
Here is a relaxed Tl2PdRh crystal from Alexandria. Energies are from PBE.

Calculated values
Density of states at the Fermi level (states/eV/atom): 0.774
M_tot (Bohr magnetons per cell): 0.00
ρ (Mg/m³): 13.6

Geometry as POSCAR:
```
Tl2PdRh
1.0
-2.7947 -1.4845 -0.6396
-0.6241 -0.8602 4.7231
-2.3421 4.2121 0.4577
Tl Pd Rh
2 1 1
Direct
0.0000 0.0000 0.5000
0.0000 0.5000 0.0000
0.5000 0.0000 0.0000
0.5000 0.5000 0.5000
```


Run x
Here is a relaxed Tl2PdRh crystal from Alexandria. Energies are from PBE.

Calculated values
Density of states at the Fermi level (states/eV/atom): 0.361
M_tot (Bohr magnetons per cell): 0.00
ρ (Mg/m³): 11.9

Geometry as POSCAR:
```
Tl2PdRh
1.0
4.1506 0.0000 0.0000
2.0753 3.5945 0.0000
2.0753 1.1982 5.7725
Tl Rh Pd
2 1 1
Direct
0.0766 0.0766 0.7701
0.2574 0.2574 0.2279
0.6698 0.6698 0.9907
0.4962 0.4962 0.5113
```


Run y
Here is a relaxed Tl2PdRh crystal from Alexandria. Energies are from PBE.

Calculated values
Density of states at the Fermi level (states/eV/atom): 0.486
M_tot (Bohr magnetons per cell): 0.00
ρ (Mg/m³): 11.8

Geometry as POSCAR:
```
Tl2PdRh
1.0
4.3437 0.0000 0.0000
0.0000 4.3437 0.0000
2.1719 2.1719 9.2323
Rh Tl Pd
2 4 2
Direct
0.5000 0.5000 0.0000
0.2500 0.7500 0.5000
0.1289 0.6250 0.2500
0.6211 0.1250 0.2500
0.3750 0.3789 0.7500
0.8750 0.8711 0.7500
0.0000 0.0000 0.0000
0.7500 0.2500 0.5000
```


Which of them is the most stable? Correct choice: run w.


Run w
Here is a relaxed Tl2PdRh crystal from Alexandria. Energies are from PBE.

Calculated values
Density of states at the Fermi level (states/eV/atom): 0.607
M_tot (Bohr magnetons per cell): 0.00
ρ (Mg/m³): 13.6

Geometry as POSCAR:
```
Tl2PdRh
1.0
-2.3326 -0.6284 4.0853
-4.2501 2.0130 0.6398
-3.9078 -2.6911 0.1117
Rh Pd Tl
1 1 2
Direct
0.0000 0.0000 0.0000
0.5000 0.5000 0.5000
0.2500 0.2500 0.2500
0.7500 0.7500 0.7500
```


Run x
Here is a relaxed Tl2PdRh crystal from Alexandria. Energies are from PBE.

Calculated values
Density of states at the Fermi level (states/eV/atom): 0.372
M_tot (Bohr magnetons per cell): 0.00
ρ (Mg/m³): 13.5

Geometry as POSCAR:
```
Tl2PdRh
1.0
3.2098 0.0000 0.0000
0.0000 3.2098 0.0000
0.0000 0.0000 7.3626
Rh Tl Pd
1 2 1
Direct
0.5000 0.5000 0.0000
0.0000 0.0000 0.7563
0.0000 0.0000 0.2437
0.5000 0.5000 0.5000
```


Which of them is the most stable? Correct choice: run x.


Run w
Here is a relaxed Tm8Pd2Rh crystal from Alexandria. Energies are from PBE.

Calculated values
Density of states at the Fermi level (states/eV/atom): 1.107
M_tot (Bohr magnetons per cell): 0.00
ρ (Mg/m³): 9.7

Geometry as POSCAR:
```
Tm8Pd2Rh
1.0
-4.6557 3.1503 -1.3338
2.0995 -2.5054 -6.9715
-3.0926 -5.2194 4.7414
Tm Rh Pd
8 1 2
Direct
0.3779 0.9113 0.6636
0.8117 0.6433 0.6433
0.3779 0.6636 0.9113
0.1703 0.3638 0.3638
0.5852 0.3394 0.0929
0.9890 0.2080 0.7947
0.5852 0.0929 0.3394
0.9890 0.7947 0.2080
0.1230 0.0045 0.0045
0.4953 0.7050 0.3074
0.4953 0.3074 0.7050
```


Run x
Here is a relaxed Tm8Pd2Rh crystal from Alexandria. Energies are from PBE.

Calculated values
Density of states at the Fermi level (states/eV/atom): 1.095
M_tot (Bohr magnetons per cell): 0.00
ρ (Mg/m³): 10.1

Geometry as POSCAR:
```
Tm8Pd2Rh
1.0
-4.0694 1.4194 -2.5643
1.0835 -4.8560 -4.4074
-2.9518 -4.0662 7.3373
Pd Tm Rh
2 8 1
Direct
0.8128 0.2806 0.6256
0.1872 0.7194 0.3744
0.0317 0.7888 0.0635
0.2022 0.3163 0.4045
0.7978 0.6837 0.5955
0.3354 0.0274 0.6708
0.5908 0.4427 0.1815
0.4092 0.5573 0.8185
0.9683 0.2112 0.9365
0.6646 0.9726 0.3292
0.5000 0.0000 0.0000
```


Which of them is the most stable? Correct choice: run x.


Run w
Here is a relaxed Tm4PdRh2 crystal from Alexandria. Energies are from PBE.

Calculated values
Density of states at the Fermi level (states/eV/atom): 0.917
M_tot (Bohr magnetons per cell): 0.00
ρ (Mg/m³): 10.5

Geometry as POSCAR:
```
Tm4PdRh2
1.0
-4.0876 -3.6713 2.0822
-1.7075 2.1077 -5.2120
5.0839 -2.8711 -0.6583
Rh Tm Pd
2 4 1
Direct
0.5000 0.5000 0.0000
0.5000 0.0000 0.5000
0.5000 0.5000 0.5000
0.0000 0.5000 0.0000
0.0000 0.0000 0.5000
0.5000 0.0000 0.0000
0.0000 0.0000 0.0000
```


Run x
Here is a relaxed Tm4PdRh2 crystal from Alexandria. Energies are from PBE.

Calculated values
Density of states at the Fermi level (states/eV/atom): 0.685
M_tot (Bohr magnetons per cell): 0.00
ρ (Mg/m³): 9.5

Geometry as POSCAR:
```
Tm4PdRh2
1.0
-3.4894 1.0786 -1.9263
1.5400 -4.3912 -5.2483
-1.9072 -2.7801 6.3237
Pd Tm Rh
1 4 2
Direct
0.0000 0.0000 0.0000
0.1385 0.7910 0.2769
0.6253 0.3135 0.2505
0.3747 0.6865 0.7495
0.8615 0.2090 0.7231
0.2385 0.2407 0.4769
0.7615 0.7593 0.5231
```


Which of them is the most stable? Correct choice: run w.